(1)
# CsBr2Cl, single point on PBEsol structure, DFT meta-GGA SCAN
# Formation energy from raw total energies in meV per atom: -586
# Energy in eV/cell: -348.21
data_CsBr2Cl
_chemical_formula_sum 'Cs4 Br8 Cl4'
_symmetry_space_group_name_H-M 'F m -3 m'
_symmetry_Int_Tables_number 225
_symmetry_space_group_name_Hall '-F 4 2 3'
_cell_length_a 8.0231
_cell_length_b 8.0231
_cell_length_c 8.0231
_cell_angle_alpha 90.00
_cell_angle_beta 90.00
_cell_angle_gamma 90.00
loop_
_atom_site_label
_atom_site_type_symbol
_atom_site_fract_x
_atom_site_fract_y
_atom_site_fract_z
Cs1 Cs 0.0000 0.0000 0.0000
Br1 Br 0.2500 0.2500 0.2500
Cl1 Cl 0.0000 0.0000 0.5000

(2)
# TiHgH2, single point on PBEsol structure, DFT meta-GGA SCAN
# Energy in eV/cell: -363.64
# Polymorph energy (0 for the lowest one) in meV per atom: 0
data_TiHgH2
_chemical_formula_sum 'Ti4 Hg4 H8'
_symmetry_space_group_name_H-M 'I -4 2 d'
_symmetry_Int_Tables_number 122
_symmetry_space_group_name_Hall 'I -4 2bw'
_cell_length_a 4.2606
_cell_length_b 4.2606
_cell_length_c 9.9376
_cell_angle_alpha 90.00
_cell_angle_beta 90.00
_cell_angle_gamma 90.00
loop_
_atom_site_label
_atom_site_type_symbol
_atom_site_fract_x
_atom_site_fract_y
_atom_site_fract_z
Ti1 Ti 0.0000 0.0000 0.0000
Hg1 Hg 0.0000 0.0000 0.5000
H1 H 0.1346 0.2500 0.1250

(3)
# In2Co, single point on PBEsol structure, DFT meta-GGA SCAN
# Energy in eV/cell: -1339.36
# Energy of formation from the pure elements in eV/atom: 0.122
data_In2Co
_chemical_formula_sum 'In32 Co16'
_symmetry_space_group_name_H-M 'F d d d'
_symmetry_Int_Tables_number 70
_cell_length_a 5.1374
_cell_length_b 9.3602
_cell_length_c 17.5228
_cell_angle_alpha 90.00
_cell_angle_beta 90.00
_cell_angle_gamma 90.00
loop_
_symmetry_equiv_pos_as_xyz
'x,y,z'
'-x,-y,-z'
'-x+1/4,-y+1/4,z'
'x+1/4,y+1/4,-z'
'x,-y+1/4,-z+1/4'
'-x,y+1/4,z+1/4'
'-x+1/4,y,-z+1/4'
'x+1/4,-y,z+1/4'
'x,y+1/2,z+1/2'
'-x,-y+1/2,-z+1/2'
'-x+1/4,-y+3/4,z+1/2'
'x+1/4,y+3/4,-z+1/2'
'x,-y+3/4,-z+3/4'
'-x,y+3/4,z+3/4'
'-x+1/4,y+1/2,-z+3/4'
'x+1/4,-y+1/2,z+3/4'
'x+1/2,y,z+1/2'
'-x+1/2,-y,-z+1/2'
'-x+3/4,-y+1/4,z+1/2'
'x+3/4,y+1/4,-z+1/2'
'x+1/2,-y+1/4,-z+3/4'
'-x+1/2,y+1/4,z+3/4'
'-x+3/4,y,-z+3/4'
'x+3/4,-y,z+3/4'
'x+1/2,y+1/2,z'
'-x+1/2,-y+1/2,-z'
'-x+3/4,-y+3/4,z'
'x+3/4,y+3/4,-z'
'x+1/2,-y+3/4,-z+1/4'
'-x+1/2,y+3/4,z+1/4'
'-x+3/4,y+1/2,-z+1/4'
'x+3/4,-y+1/2,z+1/4'
loop_
_atom_site_label
_atom_site_type_symbol
_atom_site_fract_x
_atom_site_fract_y
_atom_site_fract_z
In1 In 0.1250 0.1250 0.0355
In2 In 0.1250 0.2831 0.6250
Co1 Co 0.1250 0.1250 0.4965

(4)
# HfTc3Ni, single point on PBEsol structure, DFT meta-GGA SCAN
# Energy in eV/cell: -179.09
# Energy of formation from the pure elements in eV/atom: 0.987
# Polymorph energy (0 for the lowest one) in meV per atom: 0
data_HfTc3Ni
_chemical_formula_sum 'Hf1 Tc3 Ni1'
_symmetry_space_group_name_H-M 'P m -3 m'
_symmetry_Int_Tables_number 221
_symmetry_space_group_name_Hall '-P 4 2 3'
_cell_length_a 4.3736
_cell_length_b 4.3736
_cell_length_c 4.3736
_cell_angle_alpha 90.00
_cell_angle_beta 90.00
_cell_angle_gamma 90.00
loop_
_atom_site_label
_atom_site_type_symbol
_atom_site_fract_x
_atom_site_fract_y
_atom_site_fract_z
Hf1 Hf 0.0000 0.0000 0.0000
Tc1 Tc 0.0000 0.5000 0.5000
Ni1 Ni 0.5000 0.5000 0.5000

(5)
# CsRbTc2F, single point on PBEsol structure, DFT meta-GGA SCAN
# Formation energy from raw total energies in meV per atom: 1025
# Energy in eV/cell: -127.09
data_CsRbTc2F
_chemical_formula_sum 'Cs1 Rb1 Tc2 F1'
_symmetry_space_group_name_H-M 'P 4/m m m'
_symmetry_Int_Tables_number 123
_symmetry_space_group_name_Hall '-P 4 2'
_cell_length_a 4.2599
_cell_length_b 4.2599
_cell_length_c 5.8715
_cell_angle_alpha 90.00
_cell_angle_beta 90.00
_cell_angle_gamma 90.00
loop_
_atom_site_label
_atom_site_type_symbol
_atom_site_fract_x
_atom_site_fract_y
_atom_site_fract_z
Cs1 Cs 0.0000 0.0000 0.0000
Rb1 Rb 0.5000 0.5000 0.0000
Tc1 Tc 0.0000 0.5000 0.5000
F1 F 0.0000 0.0000 0.5000

(6)
# KCu2Os, single point on PBEsol structure, DFT meta-GGA SCAN
# Energy in eV/cell: -209.71
# Energy of formation from the pure elements in eV/atom: 1.438
data_KCu2Os
_chemical_formula_sum 'K2 Cu4 Os2'
_symmetry_space_group_name_H-M 'I -4 m 2'
_symmetry_Int_Tables_number 119
_symmetry_space_group_name_Hall 'I -4 -2'
_cell_length_a 3.7492
_cell_length_b 3.7492
_cell_length_c 9.0149
_cell_angle_alpha 90.00
_cell_angle_beta 90.00
_cell_angle_gamma 90.00
loop_
_atom_site_label
_atom_site_type_symbol
_atom_site_fract_x
_atom_site_fract_y
_atom_site_fract_z
K1 K 0.0000 0.0000 0.0000
Cu1 Cu 0.0000 0.0000 0.5000
Cu2 Cu 0.0000 0.5000 0.7500
Os1 Os 0.0000 0.5000 0.2500